1.
The following is a DFT calculation (PBE) of a relaxed structure of CoOs2Au.

DFT formation energy (eV/atom): 0.65
D(E_F) (states/eV/atom): 1.23
SG: Imm2, No. 44
Polymorph energy (0 for the lowest one) (meV/atom): 344.2

a = 5.2820 Å, b = 5.2820 Å, c = 5.2820 Å
α = 149.20°, β = 128.38°, γ = 61.32°
With the nearest neighbours (Å) after each atom.
Sites, in units of the cell vectors:
1 Au 0.4895 0.4895 0.0000  2 Co 2.69, 6 Os 2.70-2.88, 2 Au 2.80
2 Co 0.2373 0.7373 0.5000  6 Os 2.52-2.71, 2 Au 2.69, 2 Co 2.80
3 Os 0.0067 0.0067 0.0000  2 Co 2.52, 4 Os 2.59-2.80, 4 Au 2.70
4 Os 0.7666 0.2666 0.5000  4 Os 2.59-2.80, 4 Co 2.71, 2 Au 2.88

=====

2.
The following is a DFT calculation (PBE) of a relaxed structure of Co2OsAu.

DFT formation energy (eV/atom): 0.27
D(E_F) (states/eV/atom): 1.03
SG: R-3m, No. 166
Polymorph energy (0 for the lowest one) (meV/atom): 56.7

a = 8.7891 Å, b = 8.7891 Å, c = 8.7891 Å
α = 17.75°, β = 17.75°, γ = 17.75°
With the nearest neighbours (Å) after each atom.
Sites, in units of the cell vectors:
1 Au 0.2500 0.2500 0.2500  6 Au 2.71, 6 Co 2.78
2 Co 0.0052 0.0052 0.0052  3 Os 2.56, 6 Co 2.71, 3 Au 2.78
3 Co 0.4948 0.4948 0.4948  3 Os 2.56, 6 Co 2.71, 3 Au 2.78
4 Os 0.7500 0.7500 0.7500  6 Co 2.56, 6 Os 2.71

=====

3.
The following is a DFT calculation (PBE) of a relaxed structure of Co2OsAu.

DFT formation energy (eV/atom): 0.55
D(E_F) (states/eV/atom): 1.35
SG: Immm, No. 71
Polymorph energy (0 for the lowest one) (meV/atom): 334.8

a = 5.2111 Å, b = 5.2111 Å, c = 5.2111 Å
α = 149.49°, β = 126.89°, γ = 62.50°
With the nearest neighbours (Å) after each atom.
Sites, in units of the cell vectors:
1 Au 0.2500 0.7500 0.5000  4 Os 2.70, 4 Co 2.72, 2 Au 2.74
2 Co 0.9869 0.9869 0.0000  2 Os 2.52, 6 Co 2.71-2.74, 2 Au 2.72
3 Co 0.5131 0.5131 0.0000  2 Os 2.52, 6 Co 2.71-2.74, 2 Au 2.72
4 Os 0.7500 0.2500 0.5000  4 Co 2.52, 4 Au 2.70, 2 Os 2.74

=====

4.
The following is a DFT calculation (PBE) of a relaxed structure of CoOs2Au.

DFT formation energy (eV/atom): 0.60
D(E_F) (states/eV/atom): 1.23
SG: Cmmm, No. 65
Polymorph energy (0 for the lowest one) (meV/atom): 293.0

a = 2.6884 Å, b = 2.6884 Å, c = 9.3828 Å
α = 90.00°, β = 90.00°, γ = 118.78°
With the nearest neighbours (Å) after each atom.
Sites, in units of the cell vectors:
1 Au 0.5000 0.5000 0.2500  6 Au 2.69-2.74, 4 Os 2.92
2 Co 0.5000 0.5000 0.7500  4 Os 2.52, 6 Co 2.69-2.74
3 Os 0.0000 0.0000 0.9750  2 Co 2.52, 6 Os 2.69-2.74
4 Os 0.0000 0.0000 0.5250  2 Co 2.52, 6 Os 2.69-2.74

=====

5.
The following is a DFT calculation (PBE) of a relaxed structure of CoOs2Au.

DFT formation energy (eV/atom): 0.72
D(E_F) (states/eV/atom): 0.97
SG: F-43m, No. 216
Polymorph energy (0 for the lowest one) (meV/atom): 409.7

a = 4.3680 Å, b = 4.3680 Å, c = 4.3680 Å
α = 60.00°, β = 60.00°, γ = 60.00°
With the nearest neighbours (Å) after each atom.
Sites, in units of the cell vectors:
1 Au 0.5000 0.5000 0.5000  4 Co 2.67, 4 Os 2.67
2 Co 0.7500 0.7500 0.7500  4 Os 2.67, 4 Au 2.67
3 Os 0.0000 0.0000 0.0000  4 Co 2.67, 4 Os 2.67
4 Os 0.2500 0.2500 0.2500  4 Os 2.67, 4 Au 2.67

=====

6.
The following is a DFT calculation (PBE) of a relaxed structure of Co2OsAu.

DFT formation energy (eV/atom): 0.38
D(E_F) (states/eV/atom): 1.37
SG: C2/m, No. 12
Polymorph energy (0 for the lowest one) (meV/atom): 170.9

a = 4.4971 Å, b = 4.4971 Å, c = 4.8256 Å
α = 80.84°, β = 80.84°, γ = 35.00°
With the nearest neighbours (Å) after each atom.
Sites, in units of the cell vectors:
1 Au 0.2500 0.2500 0.2500  6 Co 2.70-2.76, 2 Au 2.70, 4 Os 2.77
2 Co 0.0068 0.0068 0.9598  4 Co 2.45-2.70, 3 Os 2.55-2.57, 1 Au 2.70
3 Co 0.4932 0.4932 0.5402  4 Co 2.45-2.70, 3 Os 2.55-2.57, 1 Au 2.70
4 Os 0.7500 0.7500 0.7500  6 Co 2.55-2.57, 2 Os 2.70, 4 Au 2.77

=====

7.
The following is a DFT calculation (PBE) of a relaxed structure of CoOs2Au.

DFT formation energy (eV/atom): 0.84
D(E_F) (states/eV/atom): 1.16
SG: P4/mmm, No. 123
Polymorph energy (0 for the lowest one) (meV/atom): 526.1

a = 4.4453 Å, b = 4.4453 Å, c = 2.9344 Å
α = 90.00°, β = 90.00°, γ = 90.00°
With the nearest neighbours (Å) after each atom.
Sites, in units of the cell vectors:
1 Au 0.5000 0.0000 0.5000  8 Os 2.66, 2 Au 2.93
2 Co 0.0000 0.5000 0.5000  8 Os 2.66, 2 Co 2.93
3 Os 0.0000 0.0000 0.0000  4 Au 2.66, 4 Co 2.66, 2 Os 2.93
4 Os 0.5000 0.5000 0.0000  4 Au 2.66, 4 Co 2.66, 2 Os 2.93

=====

8.
The following is a DFT calculation (PBE) of a relaxed structure of CoOs2Au.

DFT formation energy (eV/atom): 0.49
D(E_F) (states/eV/atom): 1.46
SG: I-4m2, No. 119
Polymorph energy (0 for the lowest one) (meV/atom): 183.0

a = 4.7097 Å, b = 4.7097 Å, c = 4.7097 Å
α = 131.92°, β = 131.92°, γ = 70.35°
With the nearest neighbours (Å) after each atom.
Sites, in units of the cell vectors:
1 Au 0.5000 0.5000 0.0000  8 Os 2.71-2.72, 4 Co 2.72
2 Co 0.7500 0.2500 0.5000  8 Os 2.71-2.72, 4 Au 2.72
3 Os 0.0000 0.0000 0.0000  4 Au 2.71, 4 Co 2.72, 4 Os 2.72
4 Os 0.2500 0.7500 0.5000  4 Co 2.71, 4 Au 2.72, 4 Os 2.72

=====

DFT formation energy of number 4 (CoOs2Au)?
0.60 eV/atom